1.
This record from the Alexandria database describes crystalline Hf2FeAu at its relaxed geometry. The functional is PBE.

Calculated values
Relative energy among the computed polymorphs, eV/atom: 0.000
DFT formation energy, eV per atom: -0.3726

Cell: 3.192 3.192 6.955 Å, 90.00 90.00 90.00°
Atoms (fractional coordinates):
Au 0.500 0.500 0.500
Hf 0.000 0.000 0.223
Hf 0.000 0.000 0.777
Fe 0.500 0.500 0.000

2.
This record from the Alexandria database describes crystalline HfFe2Au2 at its relaxed geometry. The functional is PBE.

Calculated values
DFT formation energy, eV per atom: 0.0384

Cell: 6.737 6.737 3.595 Å, 90.00 90.00 90.00°
Atoms (fractional coordinates):
Fe 0.123 0.377 0.000
Fe 0.377 0.877 0.000
Fe 0.623 0.123 0.000
Fe 0.877 0.623 0.000
Au 0.174 0.674 0.500
Au 0.826 0.326 0.500
Au 0.326 0.174 0.500
Au 0.674 0.826 0.500
Hf 0.500 0.500 0.000
Hf 0.000 0.000 0.000

3.
This record from the Alexandria database describes crystalline Hf2FeHgAu at its relaxed geometry. The functional is PBE.

Calculated values
DFT formation energy, eV per atom: 0.2506

Cell: 4.661 4.894 4.661 Å, 90.00 90.00 90.00°
Atoms (fractional coordinates):
Au 0.000 0.500 0.000
Hf 0.000 0.000 0.500
Hf 0.500 0.000 0.000
Hg 0.500 0.500 0.500
Fe 0.000 0.000 0.000

4.
This record from the Alexandria database describes crystalline HfMgFe2Au at its relaxed geometry. The functional is PBE.

Calculated values
DFT formation energy, eV per atom: 1.4166

Cell: 4.736 4.961 4.736 Å, 90.00 90.00 90.00°
Atoms (fractional coordinates):
Fe 0.000 0.000 0.500
Fe 0.500 0.000 0.000
Au 0.000 0.000 0.000
Hf 0.000 0.500 0.000
Mg 0.500 0.500 0.500

5.
This record from the Alexandria database describes crystalline HfFe2MoAu at its relaxed geometry. The functional is PBE.

Calculated values
DFT formation energy, eV per atom: 1.1533

Cell: 4.417 5.052 4.417 Å, 90.00 90.00 90.00°
Atoms (fractional coordinates):
Fe 0.000 0.000 0.500
Fe 0.500 0.000 0.000
Au 0.500 0.500 0.500
Hf 0.000 0.500 0.000
Mo 0.000 0.000 0.000

6.
This record from the Alexandria database describes crystalline HfFePb2Au at its relaxed geometry. The functional is PBE.

Calculated values
DFT formation energy, eV per atom: 1.1770

Cell: 5.419 5.254 5.419 Å, 90.00 90.00 90.00°
Atoms (fractional coordinates):
Au 0.000 0.000 0.000
Fe 0.500 0.500 0.500
Pb 0.500 0.000 0.000
Pb 0.000 0.000 0.500
Hf 0.000 0.500 0.000

7.
This record from the Alexandria database describes crystalline HfFePbAu2 at its relaxed geometry. The functional is PBE.

Calculated values
DFT formation energy, eV per atom: 0.6509

Cell: 4.808 4.869 4.808 Å, 90.00 90.00 90.00°
Atoms (fractional coordinates):
Au 0.000 0.000 0.500
Au 0.500 0.000 0.000
Pb 0.000 0.500 0.000
Hf 0.500 0.500 0.500
Fe 0.000 0.000 0.000

8.
This record from the Alexandria database describes crystalline HfFeRe2Au at its relaxed geometry. The functional is PBE.

Calculated values
DFT formation energy, eV per atom: 2.1711

Cell: 4.765 4.514 4.765 Å, 90.00 90.00 90.00°
Atoms (fractional coordinates):
Au 0.500 0.500 0.500
Re 0.000 0.000 0.500
Re 0.500 0.000 0.000
Fe 0.000 0.500 0.000
Hf 0.000 0.000 0.000

9.
This record from the Alexandria database describes crystalline HfScFeAu at its relaxed geometry. The functional is PBE.

Calculated values
DFT formation energy, eV per atom: -0.3309

Cell: 4.649 4.649 4.649 Å, 60.00 60.00 60.00°
Atoms (fractional coordinates):
Au 0.000 0.000 0.000
Sc 0.250 0.250 0.250
Hf 0.750 0.750 0.750
Fe 0.500 0.500 0.500

10.
This record from the Alexandria database describes crystalline HfFeTe2Au at its relaxed geometry. The functional is PBE.

Calculated values
Raw formation energy, eV/f.u.: 4.3

Cell: 5.362 4.682 5.362 Å, 90.00 90.00 90.00°
Atoms (fractional coordinates):
Fe 0.000 0.500 0.000
Au 0.000 0.000 0.000
Te 0.500 0.000 0.000
Te 0.000 0.000 0.500
Hf 0.500 0.500 0.500

11.
This record from the Alexandria database describes crystalline HfZnFeAu at its relaxed geometry. The functional is PBE.

Calculated values
DFT formation energy, eV per atom: -0.1382

Cell: 4.504 4.504 4.504 Å, 60.00 60.00 60.00°
Atoms (fractional coordinates):
Fe 0.500 0.500 0.500
Hf 0.750 0.750 0.750
Zn 0.250 0.250 0.250
Au 0.000 0.000 0.000

12.
This record from the Alexandria database describes crystalline HfZrFeAu at its relaxed geometry. The functional is PBE.

Calculated values
DFT formation energy, eV per atom: -0.2473

Cell: 4.693 4.693 4.693 Å, 60.00 60.00 60.00°
Atoms (fractional coordinates):
Au 0.000 0.000 0.000
Fe 0.500 0.500 0.500
Hf 0.750 0.750 0.750
Zr 0.250 0.250 0.250